1.
KHg2Pb: single point on PBEsol structure, meta-GGA SCAN.

The value obtained for the formation energy is -193 meV per atom.

It has space group C2/m (No. 12), with a = 10.2480 Å, b = 3.3103 Å, c = 6.8429 Å, α = 90.00°, β = 96.49° and γ = 90.00°. The distinct sites, in fractional coordinates, are K at (0.0000, 0.0000, 0.0000), Hg at (0.2490, 0.0000, 0.7188) and Pb at (0.0000, 0.5000, 0.5000).


2.
KHg2Pb: single point on PBEsol structure, meta-GGA SCAN.

The value obtained for the formation energy is -171 meV per atom.

It has space group Cmmm (No. 65), with a = 7.6689 Å, b = 7.6990 Å, c = 3.8052 Å, α = 90.00°, β = 90.00° and γ = 90.00°. The distinct sites, in fractional coordinates, are K at (0.0000, 0.0000, 0.0000), Hg at (0.2500, 0.2500, 0.5000) and Pb at (0.0000, 0.5000, 0.0000).


3.
KHg2Pb: single point on PBEsol structure, meta-GGA SCAN.

The value obtained for the formation energy is -208 meV per atom.

It has space group Pmmm (No. 47), with a = 3.5859 Å, b = 3.6974 Å, c = 8.7270 Å, α = 90.00°, β = 90.00° and γ = 90.00°. The distinct sites, in fractional coordinates, are K at (0.0000, 0.0000, 0.0000), Hg at (0.5000, 0.5000, 0.2703) and Pb at (0.0000, 0.0000, 0.5000).


4.
K3HgPb: single point on PBEsol structure, meta-GGA SCAN.

The value obtained for the formation energy is 2 meV per atom.

It has space group Pm-3m (No. 221), with a = 6.7253 Å, b = 6.7253 Å, c = 6.7253 Å, α = 90.00°, β = 90.00° and γ = 90.00°. The distinct sites, in fractional coordinates, are K at (0.0000, 0.0000, 0.5000), Hg at (0.5000, 0.5000, 0.5000) and Pb at (0.0000, 0.0000, 0.0000).


5.
K2HgPd2: single point on PBEsol structure, meta-GGA SCAN.

The value obtained for the formation energy is -130 meV per atom.

It has space group P4/mbm (No. 127), with a = 6.9159 Å, b = 6.9159 Å, c = 5.1276 Å, α = 90.00°, β = 90.00° and γ = 90.00°. The distinct sites, in fractional coordinates, are K at (0.1743, 0.3257, 0.0000), Hg at (0.0000, 0.0000, 0.5000) and Pd at (0.1339, 0.6339, 0.5000).


6.
KHg2Pt2: single point on PBEsol structure, meta-GGA SCAN.

The value obtained for the formation energy is -85 meV per atom.

It has space group I4/mmm (No. 139), with a = 4.0924 Å, b = 4.0924 Å, c = 12.9304 Å, α = 90.00°, β = 90.00° and γ = 90.00°. The distinct sites, in fractional coordinates, are K at (0.0000, 0.0000, 0.0000), Hg at (0.0000, 0.0000, 0.3922) and Pt at (0.0000, 0.5000, 0.2500).


7.
KHgPt4: single point on PBEsol structure, meta-GGA SCAN.

The value obtained for the formation energy is -79 meV per atom.

It has space group F-43m (No. 216), with a = 7.5710 Å, b = 7.5710 Å, c = 7.5710 Å, α = 90.00°, β = 90.00° and γ = 90.00°. The distinct sites, in fractional coordinates, are K at (0.0000, 0.0000, 0.0000), Hg at (0.2500, 0.2500, 0.7500) and Pt at (0.1248, 0.1248, 0.3752).


8.
K2Rb2Hg: single point on PBEsol structure, meta-GGA SCAN.

The value obtained for the formation energy is -11 meV per atom.

It has space group P4/mbm (No. 127), with a = 9.3718 Å, b = 9.3718 Å, c = 7.3077 Å, α = 90.00°, β = 90.00° and γ = 90.00°. The distinct sites, in fractional coordinates, are K at (0.1768, 0.3232, 0.0000), Rb at (0.1594, 0.6594, 0.5000) and Hg at (0.0000, 0.0000, 0.5000).